Here is a relaxed NdHoInGa crystal from Alexandria via LeMat-Bulk. Energies are from GGA-PBE.

Calculated values
- ΔH_f (0 K) (kJ per mole of atoms) = -47.70
- ΔE to the lowest computed polymorph (eV/atom) = 0.026

POSCAR file:
```
NdHoInGa
1.0
7.4559 0.0000 0.0000
0.0000 7.4559 0.0000
0.0000 0.0000 7.4559
Nd Ho In Ga
4 4 4 4
Direct
0.0000 0.0000 0.0000
0.0000 0.5000 0.5000
0.5000 0.0000 0.5000
0.5000 0.5000 0.0000
0.0000 0.0000 0.5000
0.0000 0.5000 0.0000
0.5000 0.0000 0.0000
0.5000 0.5000 0.5000
0.2500 0.2500 0.2500
0.2500 0.7500 0.7500
0.7500 0.2500 0.7500
0.7500 0.7500 0.2500
0.2500 0.2500 0.7500
0.2500 0.7500 0.2500
0.7500 0.2500 0.2500
0.7500 0.7500 0.7500
```



Here is a relaxed HoInGaNi crystal from Alexandria via LeMat-Bulk. Energies are from GGA-PBE.

Calculated values
- ΔH_f (0 K) (kJ per mole of atoms) = -31.70

POSCAR file:
```
HoInGaNi
1.0
6.7061 0.0000 0.0000
0.0000 6.7061 0.0000
0.0000 0.0000 6.7061
Ho In Ga Ni
4 4 4 4
Direct
0.0000 0.0000 0.0000
0.0000 0.5000 0.5000
0.5000 0.0000 0.5000
0.5000 0.5000 0.0000
0.0000 0.0000 0.5000
0.0000 0.5000 0.0000
0.5000 0.0000 0.0000
0.5000 0.5000 0.5000
0.2500 0.2500 0.2500
0.2500 0.7500 0.7500
0.7500 0.2500 0.7500
0.7500 0.7500 0.2500
0.2500 0.2500 0.7500
0.2500 0.7500 0.2500
0.7500 0.2500 0.2500
0.7500 0.7500 0.7500
```



Here is a relaxed Ho2InGa2Ni5 crystal from Alexandria via LeMat-Bulk. Energies are from GGA-PBE.

Calculated values
- ΔH_f (0 K) (kJ per mole of atoms) = -36.30

POSCAR file:
```
Ho2InGa2Ni5
1.0
9.4927 0.0000 0.0000
0.0000 9.4927 0.0000
0.0000 0.0000 3.5720
Ho In Ga Ni
4 2 4 10
Direct
0.1796 0.3204 0.0000
0.3204 0.8204 0.0000
0.6796 0.1796 0.0000
0.8204 0.6796 0.0000
0.0000 0.0000 0.0000
0.5000 0.5000 0.0000
0.1169 0.6169 0.0000
0.3831 0.1169 0.0000
0.6169 0.8831 0.0000
0.8831 0.3831 0.0000
0.0000 0.5000 0.5000
0.0615 0.7830 0.5000
0.2170 0.0615 0.5000
0.2830 0.5615 0.5000
0.4385 0.2830 0.5000
0.5000 0.0000 0.5000
0.5615 0.7170 0.5000
0.7170 0.4385 0.5000
0.7830 0.9385 0.5000
0.9385 0.2170 0.5000
```



Here is a relaxed Ho4InGaO crystal from Alexandria via LeMat-Bulk. Energies are from GGA-PBE.

Calculated values
- formation energy from raw total energies (eV per formula unit) = -7.899

POSCAR file:
```
Ho4InGaO
1.0
3.2238 -8.0523 0.0000
3.2238 8.0523 0.0000
0.0000 0.0000 6.4641
Ho In Ga O
8 2 2 2
Direct
0.0000 0.5000 0.0000
0.0000 0.5000 0.5000
0.0679 0.9321 0.7500
0.4166 0.5834 0.7500
0.5000 0.0000 0.0000
0.5000 0.0000 0.5000
0.5834 0.4166 0.2500
0.9321 0.0679 0.2500
0.3907 0.6093 0.2500
0.6093 0.3907 0.7500
0.1176 0.8824 0.2500
0.8824 0.1176 0.7500
0.2617 0.7383 0.7500
0.7383 0.2617 0.2500
```



Here is a relaxed Ho2InGaO6 crystal from Alexandria via LeMat-Bulk. Energies are from GGA-PBE.

Calculated values
- formation energy from raw total energies (eV per formula unit) = -24.413

POSCAR file:
```
Ho2InGaO6
1.0
5.2527 0.0000 0.0000
0.0000 5.2527 0.0000
0.0000 0.0000 5.0946
Ho In Ga O
2 1 1 6
Direct
0.0000 0.5000 0.0000
0.5000 0.0000 0.0000
0.0000 0.0000 0.5730
0.5000 0.5000 0.5975
0.0000 0.0000 0.1717
0.2584 0.2584 0.7531
0.2584 0.7416 0.7531
0.5000 0.5000 0.2322
0.7416 0.2584 0.7531
0.7416 0.7416 0.7531
```



Here is a relaxed HoPaInGa crystal from Alexandria via LeMat-Bulk. Energies are from GGA-PBE.

Calculated values
- ΔH_f (0 K) (kJ per mole of atoms) = -14.71

POSCAR file:
```
HoPaInGa
1.0
7.3425 0.0000 0.0000
0.0000 7.3425 0.0000
0.0000 0.0000 7.3425
Ho Pa In Ga
4 4 4 4
Direct
0.0000 0.0000 0.0000
0.0000 0.5000 0.5000
0.5000 0.0000 0.5000
0.5000 0.5000 0.0000
0.0000 0.0000 0.5000
0.0000 0.5000 0.0000
0.5000 0.0000 0.0000
0.5000 0.5000 0.5000
0.2500 0.2500 0.7500
0.2500 0.7500 0.2500
0.7500 0.2500 0.2500
0.7500 0.7500 0.7500
0.2500 0.2500 0.2500
0.2500 0.7500 0.7500
0.7500 0.2500 0.7500
0.7500 0.7500 0.2500
```



Here is a relaxed HoInGaPd crystal from Alexandria via LeMat-Bulk. Energies are from GGA-PBE.

Calculated values
- ΔH_f (0 K) (kJ per mole of atoms) = -57.14

POSCAR file:
```
HoInGaPd
1.0
6.8574 0.0000 0.0000
0.0000 6.8574 0.0000
0.0000 0.0000 6.8574
Ho In Ga Pd
4 4 4 4
Direct
0.0000 0.0000 0.0000
0.0000 0.5000 0.5000
0.5000 0.0000 0.5000
0.5000 0.5000 0.0000
0.0000 0.0000 0.5000
0.0000 0.5000 0.0000
0.5000 0.0000 0.0000
0.5000 0.5000 0.5000
0.2500 0.2500 0.7500
0.2500 0.7500 0.2500
0.7500 0.2500 0.2500
0.7500 0.7500 0.7500
0.2500 0.2500 0.2500
0.2500 0.7500 0.7500
0.7500 0.2500 0.7500
0.7500 0.7500 0.2500
```



Here is a relaxed Pm2Ho2InGa4 crystal from Alexandria via LeMat-Bulk. Energies are from GGA-PBE.

Calculated values
- ΔH_f (0 K) (kJ per mole of atoms) = -12.86

POSCAR file:
```
Pm2Ho2InGa4
1.0
-3.5650 3.5650 4.6569
3.5650 -3.5650 4.6569
3.5650 3.5650 -4.6569
Pm Ho In Ga
2 2 1 4
Direct
0.1874 0.1874 0.0000
0.8126 0.8126 0.0000
0.2500 0.7500 0.5000
0.7500 0.2500 0.5000
0.5000 0.5000 0.0000
0.2406 0.2406 0.4813
0.2406 0.7594 0.0000
0.7594 0.2406 0.0000
0.7594 0.7594 0.5187
```